Entry from Alexandria via LeMat-Bulk: crystalline Pa4CoSe3 at its relaxed geometry (PBE-GGA).

Calculated values
Symmetry: P2/c, No. 13
Uncorrected formation energy (kJ/mol of formula units): -746
Calculated total energy (eV per atom): -7.909
M_tot (μB per formula unit): 0.000
Density of states at the Fermi level (states/eV/atom): 1.77

Cell: 7.1005 8.1346 6.8192 Å, 90.00 108.65 90.00°
Last column: nearest neighbours and their distance in Å.
Sites, in units of the cell vectors:
Pa (0.2200, 0.1129, 0.0137)  2 Co 2.58-2.75, 1 Se 2.88
Pa (0.2200, 0.8871, 0.5137)  2 Co 2.58-2.75, 1 Se 2.88
Pa (0.2373, 0.3650, 0.4854)  1 Co 2.75, 5 Se 2.83-3.00
Pa (0.2373, 0.6350, 0.9854)  1 Co 2.75, 5 Se 2.83-3.00
Pa (0.7627, 0.3650, 0.0146)  1 Co 2.75, 5 Se 2.83-3.00
Pa (0.7627, 0.6350, 0.5146)  1 Co 2.75, 5 Se 2.83-3.00
Pa (0.7800, 0.1129, 0.4863)  2 Co 2.58-2.75, 1 Se 2.88
Pa (0.7800, 0.8871, 0.9863)  2 Co 2.58-2.75, 1 Se 2.88
Co (0.0000, 0.1235, 0.2500)  6 Pa 2.58-2.75
Co (0.0000, 0.8765, 0.7500)  6 Pa 2.58-2.75
Se (0.0000, 0.3717, 0.7500)  6 Pa 2.84-2.88
Se (0.0000, 0.6283, 0.2500)  6 Pa 2.84-2.88
Se (0.5000, 0.1292, 0.7500)  6 Pa 2.87-3.08
Se (0.5000, 0.3775, 0.2500)  6 Pa 2.83-3.02
Se (0.5000, 0.6225, 0.7500)  6 Pa 2.83-3.02
Se (0.5000, 0.8708, 0.2500)  6 Pa 2.87-3.08